VASP calculation (PBE-GGA) on an optimized crystal structure of YZnGaBr2.

Calculated values
**Magnetization**: 1.5 μB/f.u.
**Space group**: No. 123
**Raw formation energy**: -0.081 eV/atom

a b c (Å): 5.5456 5.5456 4.7397
angles (deg): 90.00 90.00 90.00
With the nearest neighbours (Å) after each atom.
Sites, in units of the cell vectors:
Y: 0.0000 0.0000 0.0000  8 Br 3.65, 4 Zn 3.92
Zn: 0.5000 0.5000 0.0000  2 Ga 2.37
Ga: 0.5000 0.5000 0.5000  2 Zn 2.37
Br: 0.0000 0.5000 0.5000  2 Ga 2.77
Br: 0.5000 0.0000 0.5000  2 Ga 2.77

=====

VASP calculation (PBE-GGA) on an optimized crystal structure of CePm3Sm2N6.

Calculated values
**Magnetization**: 0.0 μB/f.u.
**Space group**: No. 12
**Raw formation energy**: -1.485 eV/atom

a b c (Å): 6.2221 6.2221 6.2253
angles (deg): 99.60 99.60 119.98
With the nearest neighbours (Å) after each atom.
Sites, in units of the cell vectors:
Ce: 0.0000 0.0000 0.0000  6 N 2.47-2.48
Pm: 0.1666 0.8334 0.5000  6 N 2.54-2.60
Pm: 0.5000 0.5000 0.5000  6 N 2.54-2.61
Pm: 0.8334 0.1666 0.5000  6 N 2.54-2.60
Sm: 0.3334 0.6666 0.0000  6 N 2.54
Sm: 0.6666 0.3334 0.0000  6 N 2.54
N: 0.0813 0.4060 0.2441  1 Ce 2.48, 3 Pm 2.54-2.60, 2 Sm 2.54
N: 0.2436 0.2436 0.7568  1 Ce 2.47, 2 Sm 2.54, 3 Pm 2.54-2.61
N: 0.4060 0.0813 0.2441  1 Ce 2.48, 3 Pm 2.54-2.60, 2 Sm 2.54
N: 0.5940 0.9187 0.7559  1 Ce 2.48, 3 Pm 2.54-2.60, 2 Sm 2.54
N: 0.7564 0.7564 0.2432  1 Ce 2.47, 2 Sm 2.54, 3 Pm 2.54-2.61
N: 0.9187 0.5940 0.7559  1 Ce 2.48, 3 Pm 2.54-2.60, 2 Sm 2.54

=====

VASP calculation (PBE-GGA) on an optimized crystal structure of BaIr2Cl.

Calculated values
**Magnetization**: 0.0 μB/f.u.
**Space group**: No. 44
**Raw formation energy**: -0.021 eV/atom

a b c (Å): 4.1661 6.1347 8.4238
angles (deg): 90.00 90.00 90.00
With the nearest neighbours (Å) after each atom.
Sites, in units of the cell vectors:
Ba: 0.0000 0.0000 0.0000  2 Cl 3.18, 4 Ir 3.36-3.51
Ba: 0.5000 0.5000 0.5000  2 Cl 3.18, 4 Ir 3.36-3.51
Ir: 0.0000 0.0000 0.5399  2 Ir 2.33
Ir: 0.0000 0.5000 0.1642  2 Ir 2.33
Ir: 0.5000 0.0000 0.6642  2 Ir 2.33
Ir: 0.5000 0.5000 0.0399  2 Ir 2.33
Cl: 0.0000 0.5000 0.7850  3 Ir 2.99-3.19, 2 Ba 3.18
Cl: 0.5000 0.0000 0.2850  3 Ir 2.99-3.19, 2 Ba 3.18

=====

VASP calculation (PBE-GGA) on an optimized crystal structure of AcGaGeIr3.

Calculated values
**Magnetization**: 0.0 μB/f.u.
**Space group**: No. 63
**Formation energy**: -2.430 eV per formula unit

a b c (Å): 8.2702 8.2702 5.8112
angles (deg): 90.00 90.00 138.87
With the nearest neighbours (Å) after each atom.
Sites, in units of the cell vectors:
Ac: 0.2245 0.7755 0.7500  4 Ir 2.92-2.95
Ac: 0.7755 0.2245 0.2500  4 Ir 2.92-2.95
Ga: 0.0977 0.9023 0.2500  5 Ir 2.47-2.53
Ga: 0.9023 0.0977 0.7500  5 Ir 2.47-2.53
Ge: 0.4149 0.5851 0.2500  5 Ir 2.44-2.47
Ge: 0.5851 0.4149 0.7500  5 Ir 2.44-2.47
Ir: 0.2421 0.2421 0.0000  2 Ge 2.47, 2 Ga 2.53
Ir: 0.2421 0.2421 0.5000  2 Ge 2.47, 2 Ga 2.53
Ir: 0.2575 0.7425 0.2500  1 Ge 2.44, 1 Ga 2.47
Ir: 0.7425 0.2575 0.7500  1 Ge 2.44, 1 Ga 2.47
Ir: 0.7579 0.7579 0.0000  2 Ge 2.47, 2 Ga 2.53
Ir: 0.7579 0.7579 0.5000  2 Ge 2.47, 2 Ga 2.53

=====

VASP calculation (PBE-GGA) on an optimized crystal structure of RbYRh2.

Calculated values
**Magnetization**: 0.0 μB/f.u.
**Space group**: No. 122
**Formation energy**: 1.758 eV per formula unit

a b c (Å): 5.2777 5.2777 17.8452
angles (deg): 90.00 90.00 90.00
With the nearest neighbours (Å) after each atom.
Sites, in units of the cell vectors:
Rb: 0.0000 0.0000 0.0000  4 Rh 3.42, 4 Y 3.73
Rb: 0.0000 0.5000 0.2500  4 Rh 3.42, 4 Y 3.73
Rb: 0.5000 0.0000 0.7500  4 Rh 3.42, 4 Y 3.73
Rb: 0.5000 0.5000 0.5000  4 Rh 3.42, 4 Y 3.73
Y: 0.0000 0.0000 0.5000  4 Rh 2.62
Y: 0.0000 0.5000 0.7500  4 Rh 2.62
Y: 0.5000 0.0000 0.2500  4 Rh 2.62
Y: 0.5000 0.5000 0.0000  4 Rh 2.62
Rh: 0.0766 0.2500 0.6250  2 Y 2.62, 2 Rh 2.76
Rh: 0.2500 0.5766 0.8750  2 Y 2.62, 2 Rh 2.76
Rh: 0.2500 0.9234 0.3750  2 Y 2.62, 2 Rh 2.76
Rh: 0.4234 0.2500 0.1250  2 Y 2.62, 2 Rh 2.76
Rh: 0.5766 0.7500 0.1250  2 Y 2.62, 2 Rh 2.76
Rh: 0.7500 0.0766 0.3750  2 Y 2.62, 2 Rh 2.76
Rh: 0.7500 0.4234 0.8750  2 Y 2.62, 2 Rh 2.76
Rh: 0.9234 0.7500 0.6250  2 Y 2.62, 2 Rh 2.76

=====

VASP calculation (PBE-GGA) on an optimized crystal structure of MgZrIrPd2.

Calculated values
**Magnetization**: 0.0 μB/f.u.
**Space group**: No. 123
**Formation energy**: 2.387 eV per formula unit

a b c (Å): 5.0187 5.0187 4.7599
angles (deg): 90.00 90.00 90.00
With the nearest neighbours (Å) after each atom.
Sites, in units of the cell vectors:
Mg: 0.0000 0.0000 0.0000  8 Pd 3.46, 4 Zr 3.55
Zr: 0.5000 0.5000 0.0000  2 Ir 2.38
Ir: 0.5000 0.5000 0.5000  2 Zr 2.38, 4 Pd 2.51
Pd: 0.0000 0.5000 0.5000  2 Ir 2.51
Pd: 0.5000 0.0000 0.5000  2 Ir 2.51